[1]
PBE-GGA ZnSeCl2, relaxed; space-group type = Cm, No. 8; ΔE to the lowest computed polymorph = 0 meV/atom; E_form (uncorrected) = -560 meV/atom
1.0
4.086 -0.662 -0.108
2.894 2.960 -0.108
0.683 0.225 8.155
Zn Se Cl
1 1 2
direct
0.380 0.380 0.291
0.675 0.675 0.424
0.880 0.880 0.105
0.566 0.566 0.680

=====

[2]
PBE-GGA ZnSeCl2, relaxed; space-group type = Cmm2, No. 35; ΔE to the lowest computed polymorph = 272 meV/atom; E_form (uncorrected) = -288 meV/atom
1.0
-2.263 -4.247 0.111
3.483 2.254 2.442
-6.021 3.352 5.494
Zn Se Cl
1 1 2
direct
0.500 0.500 0.737
0.000 0.000 0.530
0.000 0.000 0.913
0.500 0.500 0.320

=====

[3]
PBE-GGA Zn2SeCl, relaxed; space-group type = P1, No. 1; ΔE to the lowest computed polymorph = 27 meV/atom; E_form (uncorrected) = -640 meV/atom
1.0
6.109 0.000 0.000
2.923 5.445 0.001
0.071 3.320 5.852
Zn Se Cl
4 2 2
direct
0.678 0.047 0.119
0.297 0.141 0.639
0.177 0.768 0.212
0.903 0.262 0.204
0.285 0.305 0.232
0.540 0.776 0.031
0.891 0.192 0.595
0.268 0.542 0.631

=====

[4]
PBE-GGA ZnSeCl2, relaxed; space-group type = Fm-3m, No. 225; ΔE to the lowest computed polymorph = 910 meV/atom; E_form (uncorrected) = 349 meV/atom
1.0
4.952 0.000 0.000
2.476 4.289 0.000
2.476 1.430 4.044
Zn Se Cl
1 1 2
direct
0.500 0.500 0.500
0.000 0.000 0.000
0.250 0.250 0.250
0.750 0.750 0.750

=====

[5]
PBE-GGA ZnSeCl2, relaxed; space-group type = Pm, No. 6; ΔE to the lowest computed polymorph = 47 meV/atom; E_form (uncorrected) = -514 meV/atom
1.0
4.088 0.000 0.000
0.000 6.322 0.161
0.000 4.607 4.598
Zn Se Cl
1 1 2
direct
0.500 0.591 0.756
0.000 0.568 0.556
0.000 0.054 0.940
0.500 0.287 0.248

=====

[6]
PBE-GGA Zn2SeCl, relaxed; space-group type = Cmmm, No. 65; ΔE to the lowest computed polymorph = 379 meV/atom; E_form (uncorrected) = -287 meV/atom
1.0
4.540 -0.155 0.000
-2.914 3.485 0.000
0.000 0.000 7.235
Cl Se Zn
1 1 2
direct
0.500 0.500 0.250
0.500 0.500 0.750
0.000 0.000 0.984
0.000 0.000 0.516

=====

[7]
PBE-GGA ZnSeCl2, relaxed; space-group type = I-42d, No. 122; ΔE to the lowest computed polymorph = 366 meV/atom; E_form (uncorrected) = -195 meV/atom
1.0
7.083 0.000 0.000
0.000 7.083 0.000
3.541 3.541 4.579
Zn Se Cl
2 2 4
direct
0.500 0.500 0.000
0.250 0.750 0.500
0.000 0.000 0.000
0.750 0.250 0.500
0.506 0.125 0.250
0.244 0.625 0.250
0.375 0.494 0.750
0.875 0.756 0.750

=====

[8]
PBE-GGA ZnSeCl2, relaxed; space-group type = Cmmm, No. 65; ΔE to the lowest computed polymorph = 881 meV/atom; E_form (uncorrected) = 321 meV/atom
1.0
-1.640 -1.848 -4.461
-2.704 -2.528 3.508
-2.283 2.291 -0.110
Zn Se Cl
1 1 2
direct
0.000 0.500 0.500
0.500 0.000 0.500
0.000 0.000 0.000
0.500 0.500 0.000

=====

[9]
PBE-GGA Zn2SeCl, relaxed; space-group type = C2/m, No. 12; ΔE to the lowest computed polymorph = 242 meV/atom; E_form (uncorrected) = -425 meV/atom
1.0
6.530 -0.215 0.665
5.583 3.394 0.665
5.736 1.506 4.300
Cl Se Zn
1 1 2
direct
0.375 0.375 0.750
0.375 0.375 0.250
0.949 0.949 0.893
0.801 0.801 0.607

=====

[10]
PBE-GGA ZnSeCl2, relaxed; space-group type = P4mm, No. 99; ΔE to the lowest computed polymorph = 376 meV/atom; E_form (uncorrected) = -184 meV/atom
1.0
-2.143 -3.844 0.986
3.657 -1.475 2.196
-1.642 1.953 4.046
Zn Se Cl
1 1 2
direct
0.500 0.500 0.626
0.000 0.000 0.647
0.000 0.000 0.099
0.500 0.500 0.127

=====

[11]
PBE-GGA ZnSeCl2, relaxed; space-group type = F-43m, No. 216; ΔE to the lowest computed polymorph = 855 meV/atom; E_form (uncorrected) = 295 meV/atom
1.0
-2.653 -2.709 3.027
1.812 -4.135 1.775
1.217 -0.300 4.687
Zn Se Cl
1 1 2
direct
0.750 0.750 0.750
0.500 0.500 0.500
0.000 0.000 0.000
0.250 0.250 0.250

=====

[12]
PBE-GGA ZnSeCl2, relaxed; space-group type = Immm, No. 71; ΔE to the lowest computed polymorph = 291 meV/atom; E_form (uncorrected) = -269 meV/atom
1.0
6.516 0.110 0.674
5.681 3.193 0.674
3.113 0.843 6.228
Zn Se Cl
1 1 2
direct
0.250 0.250 0.250
0.750 0.750 0.750
0.909 0.909 0.091
0.591 0.591 0.409

=====

[13]
PBE-GGA Zn2SeCl, relaxed; space-group type = C2, No. 5; ΔE to the lowest computed polymorph = 0 meV/atom; E_form (uncorrected) = -667 meV/atom
1.0
-0.592 -3.686 5.298
-3.535 -3.944 -3.139
8.210 -2.480 -6.130
Zn Se Cl
8 4 4
direct
0.500 0.996 0.500
0.500 0.496 0.000
0.915 0.230 0.363
0.085 0.230 0.637
0.915 0.730 0.863
0.085 0.730 0.137
0.000 0.089 0.000
0.000 0.589 0.500
0.110 0.867 0.367
0.890 0.867 0.633
0.110 0.367 0.867
0.890 0.367 0.133
0.476 0.712 0.177
0.524 0.712 0.823
0.476 0.212 0.677
0.524 0.212 0.323

=====

[14]
PBE-GGA Zn2SeCl, relaxed; space-group type = P1, No. 1; ΔE to the lowest computed polymorph = 30 meV/atom; E_form (uncorrected) = -637 meV/atom
1.0
6.017 0.000 0.000
2.556 5.686 0.000
2.699 1.844 5.702
Zn Se Cl
4 2 2
direct
0.235 0.304 0.627
0.584 0.205 0.048
0.648 0.747 0.317
0.043 0.902 0.129
0.159 0.277 0.023
0.416 0.549 0.240
0.318 0.891 0.642
0.800 0.374 0.633

=====

[15]
PBE-GGA Zn2SeCl, relaxed; space-group type = P2/m, No. 10; ΔE to the lowest computed polymorph = 347 meV/atom; E_form (uncorrected) = -319 meV/atom
1.0
-1.491 3.202 -0.758
0.496 -0.788 -4.304
-5.425 -2.442 0.353
Cl Se Zn
1 1 2
direct
0.500 0.250 0.250
0.500 0.750 0.750
0.000 0.095 0.931
0.000 0.405 0.569

=====

[16]
PBE-GGA Zn2SeCl, relaxed; space-group type = P1, No. 1; ΔE to the lowest computed polymorph = 181 meV/atom; E_form (uncorrected) = -486 meV/atom
1.0
4.108 0.064 0.031
1.201 3.931 0.031
1.361 1.009 6.329
Zn Se Cl
2 1 1
direct
0.923 0.832 0.229
0.104 0.016 0.524
0.498 0.408 0.374
0.912 0.828 0.877

=====

[17]
PBE-GGA Zn2SeCl, relaxed; space-group type = Amm2, No. 38; ΔE to the lowest computed polymorph = 240 meV/atom; E_form (uncorrected) = -426 meV/atom
1.0
5.260 0.000 0.000
0.000 4.091 0.039
0.000 0.802 4.016
Cl Se Zn
1 1 2
direct
0.000 0.398 0.398
0.500 0.906 0.906
0.000 0.891 0.891
0.500 0.304 0.304

=====

[18]
PBE-GGA Zn2SeCl, relaxed; space-group type = R3m, No. 160; ΔE to the lowest computed polymorph = 345 meV/atom; E_form (uncorrected) = -322 meV/atom
1.0
-5.668 1.678 5.407
-6.576 -1.913 4.155
-3.824 -1.435 6.891
Cl Se Zn
1 1 2
direct
0.532 0.532 0.532
0.710 0.710 0.710
0.008 0.008 0.008
0.251 0.251 0.251

=====

[19]
PBE-GGA ZnSeCl2, relaxed; space-group type = P2/m, No. 10; ΔE to the lowest computed polymorph = 256 meV/atom; E_form (uncorrected) = -305 meV/atom
1.0
-1.005 -3.058 0.405
0.911 -1.185 -6.685
5.660 -2.379 -3.924
Zn Se Cl
1 1 2
direct
0.500 0.750 0.750
0.500 0.250 0.250
0.000 0.860 0.904
0.000 0.640 0.596

=====

[20]
PBE-GGA ZnSeCl2, relaxed; space-group type = R-3m, No. 166; ΔE to the lowest computed polymorph = 145 meV/atom; E_form (uncorrected) = -415 meV/atom
1.0
11.570 -0.005 -0.003
11.084 3.318 -0.003
11.084 1.621 2.895
Zn Se Cl
1 1 2
direct
0.750 0.750 0.750
0.250 0.250 0.250
0.040 0.040 0.040
0.460 0.460 0.460